Entry one
Density functional theory data (PBE-GGA) for a relaxed Tc3AsRu crystal.

Unit cell a=4.4785 b=4.4785 c=4.4785 alpha=90.00 beta=90.00 gamma=90.00
Atoms (fractional coordinates):
1 Tc 0.0000 0.0000 0.5000
2 Tc 0.0000 0.5000 0.0000
3 Tc 0.5000 0.0000 0.0000
4 As 0.0000 0.0000 0.0000
5 Ru 0.5000 0.5000 0.5000

## Properties
- DOS(E_F) (states/eV/cell) = 7.06
- V (Å³ per cell) = 89.8
- space group = No. 221

***

Entry two
Density functional theory data (PBE-GGA) for a relaxed Tc3AsRu crystal.

Unit cell a=4.6468 b=4.6468 c=4.6468 alpha=90.00 beta=90.00 gamma=90.00
Atoms (fractional coordinates):
1 Tc 0.0000 0.0000 0.5000
2 Tc 0.0000 0.5000 0.0000
3 Tc 0.5000 0.0000 0.0000
4 As 0.5000 0.5000 0.5000
5 Ru 0.0000 0.0000 0.0000

## Properties
- DOS(E_F) (states/eV/cell) = 7.73
- V (Å³ per cell) = 100.3
- space group = No. 221

***

According to the calculations, the structures order from most to least stable as entry one, entry two.

***

Entry one
Density functional theory data (PBE-GGA) for a relaxed TcAsRu3 crystal.

Unit cell a=4.6338 b=4.6338 c=4.6338 alpha=90.00 beta=90.00 gamma=90.00
Atoms (fractional coordinates):
1 Tc 0.0000 0.0000 0.0000
2 As 0.5000 0.5000 0.5000
3 Ru 0.0000 0.0000 0.5000
4 Ru 0.0000 0.5000 0.0000
5 Ru 0.5000 0.0000 0.0000

## Properties
- DOS(E_F) (states/eV/cell) = 6.72
- V (Å³ per cell) = 99.5
- space group = No. 221

***

Entry two
Density functional theory data (PBE-GGA) for a relaxed TcAsRu3 crystal.

Unit cell a=4.4739 b=4.4739 c=4.4739 alpha=90.00 beta=90.00 gamma=90.00
Atoms (fractional coordinates):
1 Tc 0.0000 0.0000 0.0000
2 As 0.5000 0.5000 0.5000
3 Ru 0.0000 0.5000 0.5000
4 Ru 0.5000 0.0000 0.5000
5 Ru 0.5000 0.5000 0.0000

## Properties
- DOS(E_F) (states/eV/cell) = 6.83
- V (Å³ per cell) = 89.5
- space group = No. 221

***

According to the calculations, the structures order from most to least stable as entry two, entry one.

***

Entry one
Density functional theory data (PBE-GGA) for a relaxed Te3AsRu crystal.

Unit cell a=5.1642 b=5.1642 c=5.1642 alpha=90.00 beta=90.00 gamma=90.00
Atoms (fractional coordinates):
1 Te 0.0000 0.0000 0.5000
2 Te 0.0000 0.5000 0.0000
3 Te 0.5000 0.0000 0.0000
4 As 0.5000 0.5000 0.5000
5 Ru 0.0000 0.0000 0.0000

## Properties
- DOS(E_F) (states/eV/cell) = 8.25
- V (Å³ per cell) = 137.7
- space group = No. 221

***

Entry two
Density functional theory data (PBE-GGA) for a relaxed Te3AsRu crystal.

Unit cell a=5.3517 b=5.3517 c=5.3517 alpha=90.00 beta=90.00 gamma=90.00
Atoms (fractional coordinates):
1 Te 0.0000 0.0000 0.5000
2 Te 0.0000 0.5000 0.0000
3 Te 0.5000 0.0000 0.0000
4 As 0.0000 0.0000 0.0000
5 Ru 0.5000 0.5000 0.5000

## Properties
- DOS(E_F) (states/eV/cell) = 3.30
- V (Å³ per cell) = 153.3
- space group = No. 221

***

According to the calculations, the structures order from most to least stable as entry one, entry two.

***

Entry one
Density functional theory data (PBE-GGA) for a relaxed TeAsRu2 crystal.

Unit cell a=3.0710 b=3.0710 c=29.5175 alpha=90.00 beta=90.00 gamma=120.00
Atoms (fractional coordinates):
1 Te 0.0000 0.0000 0.0000
2 Te 0.3333 0.6667 0.6667
3 Te 0.6667 0.3333 0.3333
4 As 0.0000 0.0000 0.7998
5 As 0.3333 0.6667 0.4665
6 As 0.6667 0.3333 0.1332
7 Ru 0.0000 0.0000 0.2664
8 Ru 0.0000 0.0000 0.5246
9 Ru 0.3333 0.6667 0.1913
10 Ru 0.3333 0.6667 0.9330
11 Ru 0.6667 0.3333 0.5997
12 Ru 0.6667 0.3333 0.8579

## Properties
- DOS(E_F) (states/eV/cell) = 8.54
- V (Å³ per cell) = 241.1
- space group = No. 160

***

Entry two
Density functional theory data (PBE-GGA) for a relaxed TeAsRu2 crystal.

Unit cell a=6.5083 b=6.5083 c=6.5083 alpha=90.00 beta=90.00 gamma=90.00
Atoms (fractional coordinates):
1 Te 0.0000 0.0000 0.0000
2 Te 0.0000 0.5000 0.5000
3 Te 0.5000 0.0000 0.5000
4 Te 0.5000 0.5000 0.0000
5 As 0.2500 0.2500 0.7500
6 As 0.2500 0.7500 0.2500
7 As 0.7500 0.2500 0.2500
8 As 0.7500 0.7500 0.7500
9 Ru 0.0000 0.0000 0.5000
10 Ru 0.0000 0.5000 0.0000
11 Ru 0.2500 0.2500 0.2500
12 Ru 0.2500 0.7500 0.7500
13 Ru 0.5000 0.0000 0.0000
14 Ru 0.5000 0.5000 0.5000
15 Ru 0.7500 0.2500 0.7500
16 Ru 0.7500 0.7500 0.2500

## Properties
- DOS(E_F) (states/eV/cell) = 22.31
- V (Å³ per cell) = 275.7
- space group = No. 216

***

Entry three
Density functional theory data (PBE-GGA) for a relaxed TeAsRu2 crystal.

Unit cell a=6.3815 b=6.3926 c=3.2411 alpha=90.00 beta=90.00 gamma=90.00
Atoms (fractional coordinates):
1 Te 0.0000 0.0000 0.0000
2 Te 0.5000 0.5000 0.0000
3 As 0.0000 0.5000 0.0000
4 As 0.5000 0.0000 0.0000
5 Ru 0.2500 0.2500 0.5000
6 Ru 0.2500 0.7500 0.5000
7 Ru 0.7500 0.2500 0.5000
8 Ru 0.7500 0.7500 0.5000

## Properties
- DOS(E_F) (states/eV/cell) = 9.77
- V (Å³ per cell) = 132.2
- space group = No. 65

***

According to the calculations, the structures order from most to least stable as entry one, entry three, entry two.

***

Entry one
Density functional theory data (PBE-GGA) for a relaxed TeAsRu2 crystal.

Unit cell a=3.1405 b=3.1405 c=23.5353 alpha=90.00 beta=90.00 gamma=120.00
Atoms (fractional coordinates):
1 Te 0.0000 0.0000 0.0000
2 Te 0.3333 0.6667 0.6667
3 Te 0.6667 0.3333 0.3333
4 As 0.0000 0.0000 0.5000
5 As 0.3333 0.6667 0.1667
6 As 0.6667 0.3333 0.8333
7 Ru 0.0000 0.0000 0.2448
8 Ru 0.0000 0.0000 0.7552
9 Ru 0.3333 0.6667 0.4219
10 Ru 0.3333 0.6667 0.9114
11 Ru 0.6667 0.3333 0.0886
12 Ru 0.6667 0.3333 0.5781

## Properties
- DOS(E_F) (states/eV/cell) = 6.29
- V (Å³ per cell) = 201.0
- space group = No. 166

***

Entry two
Density functional theory data (PBE-GGA) for a relaxed TeAsRu2 crystal.

Unit cell a=8.3109 b=3.2223 c=5.5970 alpha=90.00 beta=99.65 gamma=90.00
Atoms (fractional coordinates):
1 Te 0.0000 0.0000 0.0000
2 Te 0.5000 0.5000 0.0000
3 As 0.2894 0.5000 0.4494
4 As 0.7894 0.0000 0.4494
5 Ru 0.0001 0.5000 0.4037
6 Ru 0.2605 0.0000 0.7675
7 Ru 0.5001 0.0000 0.4037
8 Ru 0.7605 0.5000 0.7675

## Properties
- DOS(E_F) (states/eV/cell) = 5.87
- V (Å³ per cell) = 147.8
- space group = No. 8

***

According to the calculations, the structures order from most to least stable as entry two, entry one.

***

Entry one
Density functional theory data (PBE-GGA) for a relaxed TiAs2Ru crystal.

Unit cell a=6.2636 b=6.2636 c=6.2636 alpha=90.00 beta=90.00 gamma=90.00
Atoms (fractional coordinates):
1 Ti 0.0000 0.0000 0.0000
2 Ti 0.0000 0.5000 0.5000
3 Ti 0.5000 0.0000 0.5000
4 Ti 0.5000 0.5000 0.0000
5 As 0.2500 0.2500 0.2500
6 As 0.2500 0.2500 0.7500
7 As 0.2500 0.7500 0.2500
8 As 0.2500 0.7500 0.7500
9 As 0.7500 0.2500 0.2500
10 As 0.7500 0.2500 0.7500
11 As 0.7500 0.7500 0.2500
12 As 0.7500 0.7500 0.7500
13 Ru 0.0000 0.0000 0.5000
14 Ru 0.0000 0.5000 0.0000
15 Ru 0.5000 0.0000 0.0000
16 Ru 0.5000 0.5000 0.5000

## Properties
- DOS(E_F) (states/eV/cell) = 20.11
- V (Å³ per cell) = 245.7
- space group = No. 225

***

Entry two
Density functional theory data (PBE-GGA) for a relaxed TiAs2Ru crystal.

Unit cell a=4.0052 b=4.0052 c=17.1110 alpha=90.00 beta=90.00 gamma=90.00
Atoms (fractional coordinates):
1 Ti 0.0000 0.0000 0.0000
2 Ti 0.0000 0.5000 0.2500
3 Ti 0.5000 0.0000 0.7500
4 Ti 0.5000 0.5000 0.5000
5 As 0.2341 0.2500 0.6250
6 As 0.2500 0.7341 0.8750
7 As 0.2500 0.7659 0.3750
8 As 0.2659 0.2500 0.1250
9 As 0.7341 0.7500 0.1250
10 As 0.7500 0.2341 0.3750
11 As 0.7500 0.2659 0.8750
12 As 0.7659 0.7500 0.6250
13 Ru 0.0000 0.0000 0.5000
14 Ru 0.0000 0.5000 0.7500
15 Ru 0.5000 0.0000 0.2500
16 Ru 0.5000 0.5000 0.0000

## Properties
- DOS(E_F) (states/eV/cell) = 16.67
- V (Å³ per cell) = 274.5
- space group = No. 122

***

According to the calculations, the structures order from most to least stable as entry one, entry two.